# CaLaCu4

Crystalline CaLaCu4 at its relaxed geometry (PBE, Alexandria). Values from VASP.

Cell and atoms, written as Quantum ESPRESSO input:
```
&SYSTEM
  ibrav = 0, nat = 6, ntyp = 3
/
ATOMIC_SPECIES
Ca 40.08 Ca.upf
La 138.91 La.upf
Cu 63.55 Cu.upf
CELL_PARAMETERS angstrom
0.000 3.806 3.806
3.806 0.000 3.806
3.806 3.806 0.000
ATOMIC_POSITIONS angstrom
Ca 0.000 0.000 0.000
La 5.709 5.709 5.709
Cu 2.836 2.836 2.836
Cu 4.776 4.776 2.836
Cu 4.776 2.836 4.776
Cu 2.836 4.776 4.776
```

Computed properties:
The value obtained for the energy of formation from the pure elements is -9 kJ per mole of atoms. The raw total energy comes out at -3.9776 eV per atom. Its energy above the most stable polymorph in this dataset is 79 meV/atom. As for the space group: F-43m (216).

=====

# Sm6As2Se3S

Crystalline Sm6As2Se3S at its relaxed geometry (PBE, Alexandria). Values from VASP.

Cell and atoms, written as Quantum ESPRESSO input:
```
&SYSTEM
  ibrav = 0, nat = 12, ntyp = 4
/
ATOMIC_SPECIES
Sm 150.36 Sm.upf
As 74.92 As.upf
Se 78.96 Se.upf
S 32.06 S.upf
CELL_PARAMETERS angstrom
9.111 -2.076 0.000
9.111 2.076 0.000
-2.014 0.000 8.109
ATOMIC_POSITIONS angstrom
Sm -0.440 0.000 1.914
Sm 5.176 0.000 3.430
Sm 4.338 0.000 7.405
Sm 11.871 0.000 0.704
Sm 11.033 0.000 4.679
Sm 16.648 0.000 6.196
As 2.354 0.000 2.693
As 13.854 0.000 5.416
Se 1.380 0.000 6.761
Se 8.104 0.000 4.055
Se 14.829 0.000 1.348
S 9.111 0.000 0.000
```

Computed properties:
The calculation puts the raw formation energy at -21.58 eV/f.u. The raw total energy comes out at -6.1479 eV per atom. As for the space group: C2/m (12).

=====

# TlP2Se

Crystalline TlP2Se at its relaxed geometry (PBE, Alexandria). Values from VASP.

Cell and atoms, written as Quantum ESPRESSO input:
```
&SYSTEM
  ibrav = 0, nat = 8, ntyp = 3
/
ATOMIC_SPECIES
Tl 204.38 Tl.upf
P 30.97 P.upf
Se 78.96 Se.upf
CELL_PARAMETERS angstrom
3.255 0.000 0.000
0.000 5.599 0.000
0.000 0.000 11.255
ATOMIC_POSITIONS angstrom
Tl 0.000 0.000 0.000
Tl 1.627 2.800 0.000
P 0.000 0.000 6.309
P 0.000 2.800 7.762
P 1.627 0.000 7.762
P 1.627 2.800 6.309
Se 0.000 2.800 2.550
Se 1.627 0.000 2.550
```

Computed properties:
The calculation puts the raw formation energy at 1.49 eV/f.u. The raw total energy comes out at -3.7949 eV per atom. Its energy above the most stable polymorph in this dataset is 306 meV/atom. As for the space group: Cmm2 (35).

=====

# TcPI2F

Crystalline TcPI2F at its relaxed geometry (PBE, Alexandria). Values from VASP.

Cell and atoms, written as Quantum ESPRESSO input:
```
&SYSTEM
  ibrav = 0, nat = 5, ntyp = 4
/
ATOMIC_SPECIES
Tc 98.00 Tc.upf
P 30.97 P.upf
I 126.90 I.upf
F 19.00 F.upf
CELL_PARAMETERS angstrom
5.454 0.000 0.000
0.000 5.454 0.000
0.000 0.000 4.613
ATOMIC_POSITIONS angstrom
Tc 0.000 0.000 0.000
P 0.000 0.000 2.307
I 0.000 2.727 2.307
I 2.727 0.000 2.307
F 2.727 2.727 0.000
```

Computed properties:
The calculation puts the raw formation energy at 2.67 eV/f.u. The raw total energy comes out at -3.6148 eV per atom. As for the space group: P4/mmm (123).

=====

# TcNiP2Se

Crystalline TcNiP2Se at its relaxed geometry (PBE, Alexandria). Values from VASP.

Cell and atoms, written as Quantum ESPRESSO input:
```
&SYSTEM
  ibrav = 0, nat = 10, ntyp = 4
/
ATOMIC_SPECIES
Tc 98.00 Tc.upf
Ni 58.69 Ni.upf
P 30.97 P.upf
Se 78.96 Se.upf
CELL_PARAMETERS angstrom
6.265 0.000 0.000
0.000 3.514 0.000
-2.098 0.000 7.675
ATOMIC_POSITIONS angstrom
Tc 0.000 0.000 0.000
Tc 3.133 1.757 0.000
Ni -1.049 1.757 5.626
Ni 2.084 0.000 5.626
P 0.001 0.000 6.373
P 2.060 0.000 1.307
P 3.134 1.757 6.373
P 5.193 1.757 1.307
Se 1.263 0.000 3.454
Se 4.395 1.757 3.454
```

Computed properties:
The calculation puts the raw formation energy at -0.80 eV/f.u. The raw total energy comes out at -6.2497 eV per atom. Its energy above the most stable polymorph in this dataset is 131 meV/atom. As for the space group: Cm (8).

=====

# TmSc2Cr

Crystalline TmSc2Cr at its relaxed geometry (PBE, Alexandria). Values from VASP.

Cell and atoms, written as Quantum ESPRESSO input:
```
&SYSTEM
  ibrav = 0, nat = 4, ntyp = 3
/
ATOMIC_SPECIES
Tm 168.93 Tm.upf
Sc 44.96 Sc.upf
Cr 52.00 Cr.upf
CELL_PARAMETERS angstrom
3.335 0.000 0.000
0.000 3.335 0.000
0.000 0.000 8.139
ATOMIC_POSITIONS angstrom
Tm 0.000 0.000 0.000
Sc 1.667 1.667 2.470
Sc 1.667 1.667 5.670
Cr 0.000 0.000 4.070
```

Computed properties:
The value obtained for the energy of formation from the pure elements is 18 kJ per mole of atoms. The raw total energy comes out at -6.5029 eV per atom. As for the space group: P4/mmm (123).

=====

# GeIrOsI2

Crystalline GeIrOsI2 at its relaxed geometry (PBE, Alexandria). Values from VASP.

Cell and atoms, written as Quantum ESPRESSO input:
```
&SYSTEM
  ibrav = 0, nat = 5, ntyp = 4
/
ATOMIC_SPECIES
Ge 72.64 Ge.upf
Ir 192.22 Ir.upf
Os 190.23 Os.upf
I 126.90 I.upf
CELL_PARAMETERS angstrom
5.586 0.000 0.000
0.000 5.586 0.000
0.000 0.000 4.741
ATOMIC_POSITIONS angstrom
Ge 0.000 0.000 0.000
Ir 2.793 2.793 2.371
Os 0.000 0.000 2.371
I 0.000 2.793 0.000
I 2.793 0.000 0.000
```

Computed properties:
The calculation puts the raw formation energy at 10.54 eV/f.u. The raw total energy comes out at -3.4545 eV per atom. As for the space group: P4/mmm (123).

=====

# BaSc2Br

Crystalline BaSc2Br at its relaxed geometry (PBE, Alexandria). Values from VASP.

Cell and atoms, written as Quantum ESPRESSO input:
```
&SYSTEM
  ibrav = 0, nat = 8, ntyp = 3
/
ATOMIC_SPECIES
Ba 137.33 Ba.upf
Sc 44.96 Sc.upf
Br 79.90 Br.upf
CELL_PARAMETERS angstrom
4.468 0.000 0.000
0.000 4.468 0.000
0.000 0.000 14.623
ATOMIC_POSITIONS angstrom
Ba 0.000 0.000 0.000
Ba 2.234 2.234 7.311
Sc 0.000 2.234 3.656
Sc 0.000 2.234 10.967
Sc 2.234 0.000 3.656
Sc 2.234 0.000 10.967
Br 0.000 0.000 7.311
Br 2.234 2.234 0.000
```

Computed properties:
The calculation puts the raw formation energy at -0.36 eV/f.u. The raw total energy comes out at -4.1538 eV per atom. Its energy above the most stable polymorph in this dataset is 302 meV/atom. As for the space group: I4/mmm (139).

=====

# K2NaMg3Tl12

Crystalline K2NaMg3Tl12 at its relaxed geometry (PBE, Alexandria). Values from VASP.

Cell and atoms, written as Quantum ESPRESSO input:
```
&SYSTEM
  ibrav = 0, nat = 18, ntyp = 4
/
ATOMIC_SPECIES
K 39.10 K.upf
Na 22.99 Na.upf
Mg 24.30 Mg.upf
Tl 204.38 Tl.upf
CELL_PARAMETERS angstrom
3.912 2.258 11.648
-3.912 2.258 11.648
0.000 -4.517 11.648
ATOMIC_POSITIONS angstrom
K 0.000 0.000 5.061
K 0.000 0.000 29.883
Na 0.000 0.000 17.472
Mg -1.956 -1.129 11.648
Mg -1.956 1.129 23.296
Mg 0.000 2.258 11.648
Tl 0.000 -2.690 10.021
Tl -2.329 1.345 10.021
Tl -1.737 -1.003 15.041
Tl -2.329 -1.345 24.923
Tl 0.000 -2.005 19.903
Tl -1.737 1.003 19.903
Tl 1.737 -1.003 15.041
Tl 0.000 2.005 15.041
Tl 2.329 1.345 10.021
Tl 1.737 1.003 19.903
Tl 2.329 -1.345 24.923
Tl 0.000 2.690 24.923
```

Computed properties:
The value obtained for the energy of formation from the pure elements is 6 kJ per mole of atoms. The raw total energy comes out at -1.9791 eV per atom. As for the space group: R-3m (166).

=====

# Hg2SbP

Crystalline Hg2SbP at its relaxed geometry (PBE, Alexandria). Values from VASP.

Cell and atoms, written as Quantum ESPRESSO input:
```
&SYSTEM
  ibrav = 0, nat = 8, ntyp = 3
/
ATOMIC_SPECIES
Hg 200.59 Hg.upf
Sb 121.76 Sb.upf
P 30.97 P.upf
CELL_PARAMETERS angstrom
3.690 0.000 0.000
0.000 4.851 0.000
0.000 0.000 11.469
ATOMIC_POSITIONS angstrom
Hg 0.000 0.000 0.000
Hg 0.000 2.425 2.115
Hg 1.845 0.000 7.849
Hg 1.845 2.425 5.734
Sb 0.000 2.425 8.957
Sb 1.845 0.000 3.222
P 0.000 0.000 5.028
P 1.845 2.425 10.762
```

Computed properties:
The calculation puts the raw formation energy at 1.00 eV/f.u. The raw total energy comes out at -2.2851 eV per atom. Its energy above the most stable polymorph in this dataset is 164 meV/atom. As for the space group: Imm2 (44).

=====

# KOs2Br

Crystalline KOs2Br at its relaxed geometry (PBE, Alexandria). Values from VASP.

Cell and atoms, written as Quantum ESPRESSO input:
```
&SYSTEM
  ibrav = 0, nat = 12, ntyp = 3
/
ATOMIC_SPECIES
K 39.10 K.upf
Os 190.23 Os.upf
Br 79.90 Br.upf
CELL_PARAMETERS angstrom
2.881 0.000 0.000
-1.441 2.495 0.000
0.000 0.000 30.927
ATOMIC_POSITIONS angstrom
K 0.000 0.000 0.000
K 0.000 1.664 20.618
K 1.441 0.832 10.309
Os 0.000 0.000 7.402
Os 0.000 0.000 23.524
Os 0.000 1.664 13.216
Os 0.000 1.664 28.020
Os 1.441 0.832 2.907
Os 1.441 0.832 17.711
Br 0.000 0.000 15.463
Br 0.000 1.664 5.154
Br 1.441 0.832 25.772
```

Computed properties:
The calculation puts the raw formation energy at 6.05 eV/f.u. The raw total energy comes out at -4.7946 eV per atom. Its energy above the most stable polymorph in this dataset is 1067 meV/atom. As for the space group: R-3m (166).

=====

# UPaMnRu

Crystalline UPaMnRu at its relaxed geometry (PBE, Alexandria). Values from VASP.

Cell and atoms, written as Quantum ESPRESSO input:
```
&SYSTEM
  ibrav = 0, nat = 16, ntyp = 4
/
ATOMIC_SPECIES
U 238.03 U.upf
Pa 231.04 Pa.upf
Mn 54.94 Mn.upf
Ru 101.07 Ru.upf
CELL_PARAMETERS angstrom
6.563 0.000 0.000
0.000 6.563 0.000
0.000 0.000 6.563
ATOMIC_POSITIONS angstrom
U 0.000 0.000 0.000
U 0.000 3.281 3.281
U 3.281 0.000 3.281
U 3.281 3.281 0.000
Pa 1.641 1.641 4.922
Pa 1.641 4.922 1.641
Pa 4.922 1.641 1.641
Pa 4.922 4.922 4.922
Mn 0.000 0.000 3.281
Mn 0.000 3.281 0.000
Mn 3.281 0.000 0.000
Mn 3.281 3.281 3.281
Ru 1.641 1.641 1.641
Ru 1.641 4.922 4.922
Ru 4.922 1.641 4.922
Ru 4.922 4.922 1.641
```

Computed properties:
The value obtained for the energy of formation from the pure elements is -12 kJ per mole of atoms. The raw total energy comes out at -9.9331 eV per atom. As for the space group: F-43m (216).

=====

The following theoretical density values (in g/cm³) correspond, in order, to the records above: 6.52 7.15 5.59 4.86 5.85 5.70 7.96 3.50 7.06 8.96 11.19 14.69.